[1]
The following is a PBE calculation of a relaxed Hg2Pb2Br7 crystal, from the Alexandria database.

## Properties
As for the space group: C2/m (12). For the total magnetization, the calculation gives 0.0 μB/f.u. The energy relative to the elements, uncorrected is -578 meV/atom. The calculation puts the density of states at the Fermi level at 0.422 states/eV per atom.

Unit cell a=7.870 b=7.870 c=7.824 alpha=98.02 beta=98.02 gamma=103.11
Sites, in units of the cell vectors:
Hg (0.236, 0.236, 0.383)
Hg (0.764, 0.764, 0.617)
Pb (0.314, 0.686, 0.000)
Pb (0.686, 0.314, 0.000)
Br (0.000, 0.000, 0.500)
Br (0.083, 0.471, 0.226)
Br (0.393, 0.393, 0.767)
Br (0.471, 0.083, 0.226)
Br (0.529, 0.917, 0.774)
Br (0.607, 0.607, 0.233)
Br (0.917, 0.529, 0.774)

[2]
The following is a PBE calculation of a relaxed CrCdOs2 crystal, from the Alexandria database.

## Properties
As for the space group: R-3m (166). For the total magnetization, the calculation gives 0.5 μB/f.u. The total energy is -95.836 eV for the cell shown. The calculation puts the density of states at the Fermi level at 0.838 states/eV per atom.

Unit cell a=2.755 b=2.755 c=27.483 alpha=90.00 beta=90.00 gamma=120.00
Sites, in units of the cell vectors:
Cr (0.000, 0.000, 0.000)
Cr (0.333, 0.667, 0.667)
Cr (0.667, 0.333, 0.333)
Cd (0.000, 0.000, 0.500)
Cd (0.333, 0.667, 0.167)
Cd (0.667, 0.333, 0.833)
Os (0.000, 0.000, 0.261)
Os (0.000, 0.000, 0.739)
Os (0.333, 0.667, 0.406)
Os (0.333, 0.667, 0.927)
Os (0.667, 0.333, 0.073)
Os (0.667, 0.333, 0.594)

[3]
The following is a PBE calculation of a relaxed NdInGeAu crystal, from the Alexandria database.

## Properties
As for the space group: F-43m (216). For the total magnetization, the calculation gives 0.0 μB/f.u. The total energy is -68.688 eV for the cell shown. The calculation puts the density of states at the Fermi level at 0.910 states/eV per atom.

Unit cell a=7.195 b=7.195 c=7.195 alpha=90.00 beta=90.00 gamma=90.00
Sites, in units of the cell vectors:
Nd (0.000, 0.000, 0.000)
Nd (0.000, 0.500, 0.500)
Nd (0.500, 0.000, 0.500)
Nd (0.500, 0.500, 0.000)
In (0.000, 0.000, 0.500)
In (0.000, 0.500, 0.000)
In (0.500, 0.000, 0.000)
In (0.500, 0.500, 0.500)
Ge (0.250, 0.250, 0.250)
Ge (0.250, 0.750, 0.750)
Ge (0.750, 0.250, 0.750)
Ge (0.750, 0.750, 0.250)
Au (0.250, 0.250, 0.750)
Au (0.250, 0.750, 0.250)
Au (0.750, 0.250, 0.250)
Au (0.750, 0.750, 0.750)

[4]
The following is a PBE calculation of a relaxed PuBH crystal, from the Alexandria database.

## Properties
As for the space group: I4/mmm (139). For the total magnetization, the calculation gives 5.6 μB/f.u. The calculation puts the density of states at the Fermi level at 1.526 states/eV per atom. The value obtained for the energy above the most stable polymorph in this dataset is 0.457 eV per atom.

Unit cell a=3.111 b=3.111 c=15.965 alpha=90.00 beta=90.00 gamma=90.00
Sites, in units of the cell vectors:
Pu (0.000, 0.000, 0.146)
Pu (0.000, 0.000, 0.854)
Pu (0.500, 0.500, 0.354)
Pu (0.500, 0.500, 0.646)
B (0.000, 0.000, 0.450)
B (0.000, 0.000, 0.550)
B (0.500, 0.500, 0.050)
B (0.500, 0.500, 0.950)
H (0.000, 0.000, 0.289)
H (0.000, 0.000, 0.711)
H (0.500, 0.500, 0.211)
H (0.500, 0.500, 0.789)

[5]
The following is a PBE calculation of a relaxed CsUAs2Pd2 crystal, from the Alexandria database.

## Properties
As for the space group: P-3m1 (164). For the total magnetization, the calculation gives 1.5 μB/f.u. The total energy is -35.301 eV for the cell shown. The calculation puts the density of states at the Fermi level at 1.295 states/eV per atom.

Unit cell a=4.346 b=4.346 c=9.314 alpha=90.00 beta=90.00 gamma=120.00
Sites, in units of the cell vectors:
Cs (0.000, 0.000, 0.000)
U (0.000, 0.000, 0.500)
As (0.333, 0.667, 0.319)
As (0.667, 0.333, 0.681)
Pd (0.333, 0.667, 0.695)
Pd (0.667, 0.333, 0.305)

[6]
The following is a PBE calculation of a relaxed CsGaSe2 crystal, from the Alexandria database.

## Properties
As for the space group: Pna2_1 (33). For the total magnetization, the calculation gives 0.0 μB/f.u. The energy relative to the elements, uncorrected is -912 meV/atom. The calculation puts the density of states at the Fermi level at 0.000 states/eV per atom.

Unit cell a=7.115 b=11.186 c=6.907 alpha=90.00 beta=90.00 gamma=90.00
Sites, in units of the cell vectors:
Cs (0.060, 0.127, 0.000)
Cs (0.440, 0.627, 0.500)
Cs (0.560, 0.373, 0.000)
Cs (0.940, 0.873, 0.500)
Ga (0.031, 0.374, 0.464)
Ga (0.469, 0.874, 0.964)
Ga (0.531, 0.126, 0.464)
Ga (0.969, 0.626, 0.964)
Se (0.052, 0.436, 0.120)
Se (0.143, 0.810, 0.038)
Se (0.357, 0.310, 0.538)
Se (0.448, 0.936, 0.620)
Se (0.552, 0.064, 0.120)
Se (0.643, 0.690, 0.038)
Se (0.857, 0.190, 0.538)
Se (0.948, 0.564, 0.620)

[7]
The following is a PBE calculation of a relaxed Ce2InCu2Rh5 crystal, from the Alexandria database.

## Properties
As for the space group: P4/mbm (127). For the total magnetization, the calculation gives 0.0 μB/f.u. The total energy is -129.490 eV for the cell shown. The calculation puts the density of states at the Fermi level at 0.881 states/eV per atom.

Unit cell a=9.400 b=9.400 c=3.878 alpha=90.00 beta=90.00 gamma=90.00
Sites, in units of the cell vectors:
Ce (0.175, 0.325, 0.000)
Ce (0.325, 0.825, 0.000)
Ce (0.675, 0.175, 0.000)
Ce (0.825, 0.675, 0.000)
In (0.000, 0.000, 0.000)
In (0.500, 0.500, 0.000)
Cu (0.122, 0.622, 0.000)
Cu (0.378, 0.122, 0.000)
Cu (0.622, 0.878, 0.000)
Cu (0.878, 0.378, 0.000)
Rh (0.000, 0.500, 0.500)
Rh (0.078, 0.793, 0.500)
Rh (0.207, 0.078, 0.500)
Rh (0.293, 0.578, 0.500)
Rh (0.422, 0.293, 0.500)
Rh (0.500, 0.000, 0.500)
Rh (0.578, 0.707, 0.500)
Rh (0.707, 0.422, 0.500)
Rh (0.793, 0.922, 0.500)
Rh (0.922, 0.207, 0.500)

[8]
The following is a PBE calculation of a relaxed TaWBr2 crystal, from the Alexandria database.

## Properties
As for the space group: P4/mmm (123). For the total magnetization, the calculation gives 0.0 μB/f.u. The energy relative to the elements, uncorrected is 1337 meV/atom. The calculation puts the density of states at the Fermi level at 1.158 states/eV per atom. The value obtained for the energy above the most stable polymorph in this dataset is 1.392 eV per atom.

Unit cell a=4.571 b=4.571 c=3.289 alpha=90.00 beta=90.00 gamma=90.00
Sites, in units of the cell vectors:
Ta (0.000, 0.000, 0.000)
W (0.500, 0.500, 0.000)
Br (0.000, 0.500, 0.500)
Br (0.500, 0.000, 0.500)

[9]
The following is a PBE calculation of a relaxed LaGe2Os crystal, from the Alexandria database.

## Properties
As for the space group: Pnma (62). For the total magnetization, the calculation gives 0.0 μB/f.u. The total energy is -109.832 eV for the cell shown. The calculation puts the density of states at the Fermi level at 0.458 states/eV per atom.

Unit cell a=7.145 b=4.446 c=10.533 alpha=90.00 beta=90.00 gamma=90.00
Sites, in units of the cell vectors:
La (0.172, 0.250, 0.126)
La (0.328, 0.750, 0.626)
La (0.672, 0.250, 0.374)
La (0.828, 0.750, 0.874)
Ge (0.134, 0.250, 0.819)
Ge (0.179, 0.250, 0.418)
Ge (0.321, 0.750, 0.918)
Ge (0.366, 0.750, 0.319)
Ge (0.634, 0.250, 0.681)
Ge (0.679, 0.250, 0.082)
Ge (0.821, 0.750, 0.582)
Ge (0.866, 0.750, 0.181)
Os (0.013, 0.750, 0.391)
Os (0.487, 0.250, 0.891)
Os (0.513, 0.750, 0.109)
Os (0.987, 0.250, 0.609)

[10]
The following is a PBE calculation of a relaxed Cs2KTeSe4 crystal, from the Alexandria database.

## Properties
As for the space group: Fddd (70). For the total magnetization, the calculation gives 0.0 μB/f.u. The energy relative to the elements, uncorrected is -663 meV/atom. The calculation puts the density of states at the Fermi level at 0.174 states/eV per atom.

Unit cell a=15.074 b=12.827 c=9.162 alpha=84.81 beta=57.94 gamma=37.25
Sites, in units of the cell vectors:
Cs (0.056, 0.056, 0.694)
Cs (0.306, 0.306, 0.944)
Cs (0.694, 0.694, 0.056)
Cs (0.944, 0.944, 0.306)
K (0.125, 0.125, 0.125)
K (0.875, 0.875, 0.875)
Te (0.375, 0.375, 0.375)
Te (0.625, 0.625, 0.625)
Se (0.031, 0.564, 0.515)
Se (0.390, 0.515, 0.564)
Se (0.436, 0.969, 0.610)
Se (0.485, 0.610, 0.969)
Se (0.515, 0.390, 0.031)
Se (0.564, 0.031, 0.390)
Se (0.610, 0.485, 0.436)
Se (0.969, 0.436, 0.485)